## LaScCo2 (PBE)

Data for LaScCo2 after structural relaxation.

Size of the total moment ... 0.00 μB/cell
Formation energy from the elements ... 186.9 meV/atom
Polymorph energy (0 for the lowest one) ... 1.25 eV per formula unit
Mass density ... 6.797 g cm⁻³

Lattice parameters (Å, degrees): 6.9829 6.9829 5.7897 52.91 52.91 90.00
Last column: nearest neighbours and their distance in Å.
Positions (direct):
Sc: 0.2500 0.7500 0.5000  4 Co 2.57
La: 0.0000 0.0000 0.0000  4 Co 2.59
La: 0.7500 0.2500 0.5000  4 Co 2.59
Co: 0.3750 0.3778 0.7500  2 Sc 2.57, 2 La 2.59
Co: 0.1278 0.6250 0.2500  2 Sc 2.57, 2 La 2.59
Co: 0.6222 0.1250 0.2500  2 Sc 2.57, 2 La 2.59
Co: 0.8750 0.8722 0.7500  2 Sc 2.57, 2 La 2.59
Sc: 0.5000 0.5000 0.0000  4 Co 2.57